Below is ReHOsW2 after structural relaxation, with properties calculated at the PBE-GGA level.

a = 4.022 Å, b = 4.022 Å, c = 3.935 Å
α = 90.00°, β = 90.00°, γ = 90.00°
Fractional positions:
Re: 0.000 0.000 0.000
H: 0.500 0.500 0.500
Os: 0.500 0.500 0.000
W: 0.000 0.500 0.500
W: 0.500 0.000 0.500

Energy above the most stable polymorph in this dataset   0.03 eV per formula unit
Space group   P4/mmm (123)
DFT total energy   -10.422 eV/atom